Entry 1:
Entry from the Alexandria database: crystalline NaIn9Pt2 at its relaxed geometry (PBE).

Output
**M_tot**: 0.0000 μB/atom
**Space-group type**: I4_1/amd
**DFT formation energy**: -155 meV per atom
**Crystal system**: tetragonal

Unit cell a=7.351 b=9.626 c=9.625 alpha=81.62 beta=67.55 gamma=67.55
Fractional positions:
Pt 0.375 0.750 0.750
Pt 0.875 0.250 0.750
In 0.611 0.059 0.301
In 0.139 0.441 0.199
In 0.970 0.941 0.699
In 0.611 0.301 0.059
In 0.089 0.941 0.301
Pt 0.875 0.750 0.250
Na 0.500 0.000 0.000
In 0.970 0.699 0.941
Pt 0.875 0.250 0.250
In 0.661 0.199 0.559
In 0.661 0.559 0.199
In 0.750 0.500 0.500
In 0.780 0.559 0.801
In 0.139 0.199 0.441
In 0.780 0.801 0.559
In 0.420 0.441 0.801
In 0.330 0.699 0.059
In 0.089 0.301 0.941
In 0.420 0.801 0.441
In 0.000 0.000 0.000
In 0.330 0.059 0.699
Na 0.250 0.500 0.500

***

Entry 2:
Entry from the Alexandria database: crystalline LaAsP2N at its relaxed geometry (PBE).

Output
**M_tot**: 0.2062 μB/atom
**Space-group type**: P4/mmm
**E**: -4.836 eV per atom
**Crystal system**: tetragonal

Unit cell a=4.500 b=5.952 c=4.500 alpha=90.00 beta=90.00 gamma=90.00
Each line ends with the local moment (μB).
Fractional positions:
N 0.500 0.500 0.500  0.76
P 0.500 0.000 0.000  0.03
La 0.000 0.500 0.000  -0.07
P 0.000 0.000 0.500  -0.01
As 0.000 0.000 0.000  -0.02

***

Entry 3:
Entry from the Alexandria database: crystalline SrNi2Cl at its relaxed geometry (PBE).

Output
**M_tot**: 0.2520 μB/atom
**Space-group type**: Imm2
**Offset from the most stable computed form**: 0.94 eV/f.u.
**Crystal system**: orthorhombic

Unit cell a=5.172 b=5.172 c=5.172 alpha=137.82 beta=114.24 gamma=81.29
Each line ends with the local moment (μB).
Fractional positions:
Cl 0.186 0.686 0.500  0.03
Ni 0.823 0.323 0.500  0.47
Ni 0.995 0.995 0.000  0.53
Sr 0.496 0.496 0.000  -0.01

***

Entry 4:
Entry from the Alexandria database: crystalline Na2NdI6 at its relaxed geometry (PBE).

Output
**M_tot**: 0.0000 μB/atom
**Space-group type**: C2/m
**E**: -2.919 eV per atom
**Crystal system**: monoclinic

Unit cell a=4.838 b=6.919 c=13.077 alpha=73.79 beta=79.34 gamma=69.54
Fractional positions:
I 0.336 0.757 0.572
I 0.664 0.243 0.428
Nd 0.000 0.500 0.500
I 0.630 0.751 0.988
I 0.014 0.240 0.732
I 0.370 0.249 0.012
Na 0.778 0.273 0.171
Na 0.222 0.727 0.829
I 0.986 0.760 0.268

***

Entry 5:
Entry from the Alexandria database: crystalline Ca2PuGeN4 at its relaxed geometry (PBE).

Output
**M_tot**: 0.4998 μB/atom
**Space-group type**: Cmcm
**E**: -7.579 eV per atom
**Crystal system**: orthorhombic

Unit cell a=3.374 b=5.881 c=12.028 alpha=90.00 beta=90.00 gamma=106.67
Each line ends with the local moment (μB).
Fractional positions:
Ca 0.632 0.264 0.040  -0.01
Ca 0.368 0.736 0.540  -0.01
Ca 0.632 0.264 0.460  -0.01
N 0.000 0.000 0.000  -0.30
N 0.724 0.448 0.862  -0.13
N 0.558 0.115 0.250  -0.06
N 0.276 0.552 0.362  -0.13
N 0.000 0.000 0.500  -0.30
N 0.724 0.448 0.638  -0.13
Pu 0.896 0.791 0.250  4.70
Ge 0.164 0.327 0.250  0.03
N 0.276 0.552 0.138  -0.13
N 0.442 0.885 0.750  -0.06
Ge 0.836 0.673 0.750  0.03
Pu 0.104 0.209 0.750  4.70
Ca 0.368 0.736 0.960  -0.01

***

Entry 6:
Entry from the Alexandria database: crystalline LiAg2Rh at its relaxed geometry (PBE).

Output
**M_tot**: 0.1767 μB/atom
**Space-group type**: P4/mmm
**DFT formation energy**: 69 meV per atom
**Crystal system**: tetragonal

Unit cell a=2.803 b=2.803 c=8.073 alpha=90.00 beta=90.00 gamma=90.00
Each line ends with the local moment (μB).
Fractional positions:
Li 0.500 0.500 0.250  0.00
Ag 0.000 0.000 0.494  0.02
Ag 0.000 0.000 0.006  0.02
Rh 0.500 0.500 0.750  0.65

***

Entry 7:
Entry from the Alexandria database: crystalline HfTlCo2H at its relaxed geometry (PBE).

Output
**M_tot**: 0.2053 μB/atom
**Space-group type**: P4/mmm
**Offset from the most stable computed form**: 0.00 eV/f.u.
**Crystal system**: tetragonal

Unit cell a=4.754 b=4.754 c=3.558 alpha=90.00 beta=90.00 gamma=90.00
Each line ends with the local moment (μB).
Fractional positions:
Tl 0.500 0.500 0.500  -0.02
Hf 0.000 0.000 0.000  -0.14
Co 0.000 0.500 0.000  0.62
Co 0.500 0.000 0.000  0.62
H 0.000 0.000 0.500  0.01

***

Entry 8:
Entry from the Alexandria database: crystalline Ta2GaP2 at its relaxed geometry (PBE).

Output
**M_tot**: 0.0000 μB/atom
**Space-group type**: P4/mbm
**DFT formation energy**: -319 meV per atom
**Offset from the most stable computed form**: 0.55 eV/f.u.
**Crystal system**: tetragonal

Unit cell a=7.017 b=7.017 c=3.177 alpha=90.00 beta=90.00 gamma=90.00
Fractional positions:
Ta 0.656 0.844 0.500
P 0.637 0.137 0.000
P 0.363 0.863 0.000
Ta 0.844 0.344 0.500
P 0.137 0.363 0.000
Ta 0.156 0.656 0.500
Ga 0.500 0.500 0.000
P 0.863 0.637 0.000
Ta 0.344 0.156 0.500
Ga 0.000 0.000 0.000